Entry 1:
A plane-wave DFT calculation with GGA-PBE was carried out for a geometry-optimized GdY2Al2Zn3Cd structure.

Cell and atoms, written as POSCAR:
```
GdY2Al2Zn3Cd
1.0
4.472 0.000 0.000
0.000 6.114 3.518
0.000 -6.114 3.518
Gd Y Al Zn Cd
1 2 2 3 1
direct
0.000 0.570 0.570
0.000 0.430 0.999
0.000 0.999 0.430
0.500 0.667 0.332
0.500 0.332 0.667
0.500 0.751 0.000
0.500 0.249 0.249
0.500 0.000 0.751
0.000 0.002 0.002
```

- Calculated volume: 192 Å³ per cell
- Final energy: -0.2718 Ry per atom
- Symmetry: Amm2 (38)

---

Entry 2:
A plane-wave DFT calculation with GGA-PBE was carried out for a geometry-optimized NbAgW structure.

Cell and atoms, written as POSCAR:
```
NbAgW
1.0
0.000 3.135 3.135
3.135 0.000 3.135
3.135 3.135 0.000
Nb W Ag
1 1 1
direct
0.750 0.750 0.750
0.000 0.000 0.000
0.250 0.250 0.250
```

- Calculated volume: 62 Å³ per cell
- E above lowest polymorph: 0.000 eV/atom
- Final energy: -0.5373 Ry per atom
- Symmetry: F-43m (216)